# 1
ScAsOs2 | PBE-GGA | optimized geometry

Unit cell a=8.552 b=8.552 c=8.552 alpha=20.08 beta=20.08 gamma=20.08
Fractional coordinates of all 4 atoms:
As: 0.750 0.750 0.750
Os: 0.004 0.004 0.004
Os: 0.496 0.496 0.496
Sc: 0.250 0.250 0.250

Output
The value obtained for the raw total energy is -8.133 eV/atom.

# 2
ScAsOs4 | PBE-GGA | optimized geometry

Unit cell a=5.224 b=5.224 c=5.224 alpha=60.00 beta=60.00 gamma=60.00
Fractional coordinates of all 6 atoms:
Sc: 0.750 0.750 0.750
As: 0.000 0.000 0.000
Os: 0.876 0.375 0.375
Os: 0.375 0.375 0.876
Os: 0.375 0.876 0.375
Os: 0.375 0.375 0.375

Output
The value obtained for the raw total energy is -8.984 eV/atom.

# 3
Sc2AsOs | PBE-GGA | optimized geometry

Unit cell a=8.969 b=8.969 c=8.969 alpha=20.49 beta=20.49 gamma=20.49
Site moments in Bohr magnetons follow the coordinates.
Fractional coordinates of all 4 atoms:
As: 0.490 0.490 0.490  -0.01
Os: 0.760 0.760 0.760  -0.01
Sc: 0.009 0.009 0.009  0.20
Sc: 0.241 0.241 0.241  0.34

Output
The value obtained for the raw total energy is -7.147 eV/atom.

# 4
ScAsOs2 | PBE-GGA | optimized geometry

Unit cell a=7.339 b=7.339 c=5.827 alpha=50.97 beta=50.97 gamma=90.00
Fractional coordinates of all 8 atoms:
Sc: 0.500 0.500 0.000
Sc: 0.250 0.750 0.500
As: 0.000 0.000 0.000
As: 0.750 0.250 0.500
Os: 0.695 0.125 0.250
Os: 0.055 0.625 0.250
Os: 0.375 0.305 0.750
Os: 0.875 0.945 0.750

Output
The value obtained for the raw total energy is -8.044 eV/atom.

# 5
ScAsOs2 | PBE-GGA | optimized geometry

Unit cell a=2.918 b=4.051 c=5.405 alpha=90.00 beta=90.00 gamma=90.00
Fractional coordinates of all 4 atoms:
As: 0.500 0.500 0.761
Os: 0.000 0.000 0.017
Os: 0.500 0.500 0.216
Sc: 0.000 0.000 0.505

Output
The value obtained for the raw total energy is -8.415 eV/atom.

# 6
ScAsOs2 | PBE-GGA | optimized geometry

Unit cell a=2.952 b=2.952 c=8.183 alpha=90.00 beta=90.00 gamma=113.69
Fractional coordinates of all 4 atoms:
As: 0.500 0.500 0.750
Os: 0.000 0.000 0.984
Os: 0.000 0.000 0.516
Sc: 0.500 0.500 0.250

Output
The value obtained for the raw total energy is -8.051 eV/atom.

# 7
Sc2AsOs2 | PBE-GGA | optimized geometry

Unit cell a=6.385 b=6.385 c=4.412 alpha=90.00 beta=90.00 gamma=90.00
Fractional coordinates of all 10 atoms:
Sc: 0.174 0.674 0.500
Sc: 0.674 0.826 0.500
Sc: 0.826 0.326 0.500
Sc: 0.326 0.174 0.500
As: 0.000 0.000 0.000
As: 0.500 0.500 0.000
Os: 0.362 0.862 0.000
Os: 0.862 0.638 0.000
Os: 0.638 0.138 0.000
Os: 0.138 0.362 0.000

Output
The value obtained for the raw total energy is -8.240 eV/atom.

# 8
ScAsOs2 | PBE-GGA | optimized geometry

Unit cell a=3.096 b=4.608 c=4.436 alpha=90.00 beta=90.00 gamma=90.00
Fractional coordinates of all 4 atoms:
As: 0.000 0.500 0.500
Os: 0.000 0.000 0.000
Os: 0.500 0.500 0.000
Sc: 0.500 0.000 0.500

Output
The value obtained for the raw total energy is -8.295 eV/atom.

# 9
Sc2AsOs | PBE-GGA | optimized geometry

Unit cell a=5.417 b=5.417 c=5.417 alpha=137.95 beta=137.95 gamma=60.99
Fractional coordinates of all 4 atoms:
As: 0.500 0.500 0.000
Os: 0.750 0.250 0.500
Sc: 0.000 0.000 0.000
Sc: 0.250 0.750 0.500

Output
The value obtained for the raw total energy is -7.594 eV/atom.

# 10
ScAsOs2 | PBE-GGA | optimized geometry

Unit cell a=5.306 b=5.306 c=5.306 alpha=147.08 beta=128.34 gamma=62.63
Fractional coordinates of all 4 atoms:
As: 0.250 0.750 0.500
Os: 0.028 0.028 0.000
Os: 0.472 0.472 0.000
Sc: 0.750 0.250 0.500

Output
The value obtained for the raw total energy is -8.403 eV/atom.

# 11
ScAsOs2 | PBE-GGA | optimized geometry

Unit cell a=8.876 b=8.876 c=8.876 alpha=18.98 beta=18.98 gamma=18.98
Fractional coordinates of all 4 atoms:
As: 0.745 0.745 0.745
Os: 0.999 0.999 0.999
Os: 0.254 0.254 0.254
Sc: 0.501 0.501 0.501

Output
The value obtained for the raw total energy is -8.163 eV/atom.

# 12
ScAsOs2 | PBE-GGA | optimized geometry

Unit cell a=4.736 b=4.736 c=4.825 alpha=77.04 beta=77.04 gamma=36.99
Fractional coordinates of all 4 atoms:
As: 0.250 0.250 0.250
Os: 0.990 0.990 0.022
Os: 0.510 0.510 0.478
Sc: 0.750 0.750 0.750

Output
The value obtained for the raw total energy is -8.393 eV/atom.

# 13
ScAsOs3 | PBE-GGA | optimized geometry

Unit cell a=4.655 b=4.655 c=4.655 alpha=90.00 beta=90.00 gamma=90.00
Site moments in Bohr magnetons follow the coordinates.
Fractional coordinates of all 5 atoms:
Sc: 0.000 0.000 0.000  -0.01
As: 0.500 0.500 0.500  -0.01
Os: 0.000 0.500 0.000  0.06
Os: 0.000 0.000 0.500  0.04
Os: 0.500 0.000 0.000  0.06

Output
The value obtained for the raw total energy is -6.571 eV/atom. The value obtained for the polymorph energy (0 for the lowest one) is 1485 meV/atom.

# 14
ScAsOs2 | PBE-GGA | optimized geometry

Unit cell a=4.182 b=2.959 c=5.276 alpha=75.28 beta=90.00 gamma=90.00
Fractional coordinates of all 4 atoms:
As: 0.500 0.929 0.738
Os: 0.000 0.840 0.016
Os: 0.500 0.210 0.224
Sc: 0.000 0.521 0.523

Output
The value obtained for the raw total energy is -8.478 eV/atom.

# 15
Sc2AsOs | PBE-GGA | optimized geometry

Unit cell a=3.747 b=3.747 c=5.575 alpha=90.00 beta=90.00 gamma=90.00
Fractional coordinates of all 4 atoms:
As: 0.000 0.000 0.439
Os: 0.500 0.500 0.827
Sc: 0.000 0.000 0.942
Sc: 0.500 0.500 0.292

Output
The value obtained for the raw total energy is -7.474 eV/atom.

# 16
ScAsOs2 | PBE-GGA | optimized geometry

Unit cell a=3.140 b=3.140 c=6.289 alpha=90.00 beta=90.00 gamma=90.00
Fractional coordinates of all 4 atoms:
As: 0.500 0.500 0.750
Os: 0.000 0.000 0.983
Os: 0.000 0.000 0.517
Sc: 0.500 0.500 0.250

Output
The value obtained for the raw total energy is -8.419 eV/atom.

# 17
ScAsOs2 | PBE-GGA | optimized geometry

Unit cell a=4.495 b=4.495 c=4.495 alpha=60.00 beta=60.00 gamma=60.00
Fractional coordinates of all 4 atoms:
As: 0.500 0.500 0.500
Os: 0.000 0.000 0.000
Os: 0.750 0.750 0.750
Sc: 0.250 0.250 0.250

Output
The value obtained for the raw total energy is -8.134 eV/atom.

# 18
ScAsOs2 | PBE-GGA | optimized geometry

Unit cell a=5.067 b=5.067 c=5.067 alpha=136.06 beta=136.06 gamma=63.89
Fractional coordinates of all 4 atoms:
As: 0.750 0.250 0.500
Os: 0.000 0.000 0.000
Os: 0.250 0.750 0.500
Sc: 0.500 0.500 0.000

Output
The value obtained for the raw total energy is -8.352 eV/atom.

# 19
ScAsOs2 | PBE-GGA | optimized geometry

Unit cell a=5.303 b=5.303 c=5.303 alpha=146.03 beta=130.23 gamma=61.63
Fractional coordinates of all 4 atoms:
As: 0.235 0.735 0.500
Os: 0.010 0.010 0.000
Os: 0.762 0.262 0.500
Sc: 0.493 0.493 0.000

Output
The value obtained for the raw total energy is -8.365 eV/atom.

# 20
ScAs3Os | PBE-GGA | optimized geometry

Unit cell a=4.963 b=4.963 c=4.963 alpha=90.00 beta=90.00 gamma=90.00
Site moments in Bohr magnetons follow the coordinates.
Fractional coordinates of all 5 atoms:
Sc: 0.000 0.000 0.000  0.05
As: 0.000 0.500 0.000  -0.06
As: 0.000 0.000 0.500  -0.05
As: 0.500 0.000 0.000  -0.05
Os: 0.500 0.500 0.500  2.31

Output
The value obtained for the raw total energy is -5.003 eV/atom.